# 1
An optimized crystal structure of KRb2Cu3As2, computed with PBE.

Structure (CIF):
```
data_KRb2Cu3As2
_chemical_formula_sum 'K3 Rb6 Cu9 As6'
_cell_length_a 5.9739
_cell_length_b 5.9739
_cell_length_c 20.6536
_cell_angle_alpha 90.00
_cell_angle_beta 90.00
_cell_angle_gamma 120.00
_space_group_name_H-M_alt 'R -3 m'
_space_group_IT_number 166
_space_group_name_Hall '-R 3 2"'
loop_
_atom_site_label
_atom_site_fract_x
_atom_site_fract_y
_atom_site_fract_z
_atom_site_occupancy
K1 0.0000 0.0000 0.0000 1
Rb1 0.0000 0.0000 0.4105 1
Cu1 0.0000 0.5000 0.5000 1
As1 0.0000 0.0000 0.2445 1
```

* crystal system: trigonal
* DFT total energy: -3.2086 eV per atom

---

# 2
An optimized crystal structure of DySiH2O4, computed with PBE.

Structure (CIF):
```
data_DySiH2O4
_chemical_formula_sum 'Dy4 Si4 H8 O16'
_cell_length_a 4.789
_cell_length_b 6.626
_cell_length_c 11.572
_cell_angle_alpha 90.00
_cell_angle_beta 108.26
_cell_angle_gamma 90.00
_space_group_name_H-M_alt 'P 1 21/c 1'
_space_group_IT_number 14
_space_group_name_Hall '-P 2ybc'
loop_
_atom_site_label
_atom_site_fract_x
_atom_site_fract_y
_atom_site_fract_z
_atom_site_occupancy
Dy1 0.016 0.246 0.328 1
Si1 0.270 0.235 0.106 1
H1 0.294 0.746 0.488 1
H2 0.463 0.015 0.745 1
O1 0.076 0.736 0.993 1
O2 0.206 0.049 0.197 1
O3 0.249 0.058 0.701 1
O4 0.406 0.233 0.990 1
```

* crystal system: monoclinic
* DFT total energy: -6.5853 eV per atom

---

# 3
An optimized crystal structure of Cs2MoS3, computed with PBE.

Structure (CIF):
```
data_Cs2MoS3
_chemical_formula_sum 'Cs8 Mo4 S12'
_cell_length_a 12.283
_cell_length_b 9.261
_cell_length_c 6.728
_cell_angle_alpha 90.00
_cell_angle_beta 90.00
_cell_angle_gamma 90.00
_space_group_name_H-M_alt 'C m c m'
_space_group_IT_number 63
_space_group_name_Hall '-C 2c 2'
loop_
_atom_site_label
_atom_site_fract_x
_atom_site_fract_y
_atom_site_fract_z
_atom_site_occupancy
Cs1 0.162 0.166 0.250 1
Mo1 0.000 0.406 0.750 1
S1 0.000 0.164 0.750 1
S2 0.120 0.500 0.000 1
```

* crystal system: orthorhombic
* DFT total energy: -5.0730 eV per atom